# 1
# PBE-GGA BeReBr2, relaxed
# - formation energy without anion corrections (eV/f.u.) = 0.61
# - E_tot (eV per atom) = -4.726
# - density of states at the Fermi level (states/eV/cell) = 0.905
# - total moment (μB per formula unit) = 0.00
# - polymorph energy (0 for the lowest one) (eV per formula unit) = 0.00
data_BeReBr2
_space_group_name_H-M_alt 'P 1 m 1'
_space_group_IT_number 6
_cell_length_a 3.325
_cell_length_b 3.204
_cell_length_c 8.210
_cell_angle_alpha 90.00
_cell_angle_beta 101.20
_cell_angle_gamma 90.00
loop_
_space_group_symop_operation_xyz
'x,y,z'
'x,-y,z'
loop_
_atom_site_label
_atom_site_type_symbol
_atom_site_fract_x
_atom_site_fract_y
_atom_site_fract_z
Be1 Be 0.000 0.000 0.000
Re1 Re 0.536 0.500 0.075
Br1 Br 0.388 0.500 0.768
Br2 Br 0.652 0.000 0.318

---

# 2
# PBE-GGA Li3Zr2AuS6, relaxed
# - formation energy without anion corrections (eV/f.u.) = -14.41
# - E_tot (eV per atom) = -5.441
# - density of states at the Fermi level (states/eV/cell) = 1.665
# - total moment (μB per formula unit) = 0.00
data_Li3Zr2AuS6
_space_group_name_H-M_alt 'C 1 2/m 1'
_space_group_IT_number 12
_cell_length_a 16.622
_cell_length_b 3.700
_cell_length_c 7.501
_cell_angle_alpha 90.00
_cell_angle_beta 104.49
_cell_angle_gamma 90.00
loop_
_space_group_symop_operation_xyz
'x,y,z'
'-x,-y,-z'
'-x,y,-z'
'x,-y,z'
'x+1/2,y+1/2,z'
'-x+1/2,-y+1/2,-z'
'-x+1/2,y+1/2,-z'
'x+1/2,-y+1/2,z'
loop_
_atom_site_label
_atom_site_type_symbol
_atom_site_fract_x
_atom_site_fract_y
_atom_site_fract_z
Li1 Li 0.000 0.000 0.000
Li2 Li 0.159 0.500 0.327
Zr1 Zr 0.153 0.500 0.812
Au1 Au 0.000 0.000 0.500
S1 S 0.001 0.500 0.758
S2 S 0.171 0.000 0.066
S3 S 0.182 0.000 0.598

---

# 3
# PBE-GGA InTcBr2, relaxed
# - formation energy without anion corrections (eV/f.u.) = 0.56
# - E_tot (eV per atom) = -3.972
# - density of states at the Fermi level (states/eV/cell) = 21.243
# - total moment (μB per formula unit) = 1.00
# - polymorph energy (0 for the lowest one) (eV per formula unit) = 0.85
data_InTcBr2
_space_group_name_H-M_alt 'I -4 2 d'
_space_group_IT_number 122
_space_group_name_Hall 'I -4 2bw'
_cell_length_a 8.900
_cell_length_b 8.900
_cell_length_c 5.498
_cell_angle_alpha 90.00
_cell_angle_beta 90.00
_cell_angle_gamma 90.00
loop_
_atom_site_label
_atom_site_type_symbol
_atom_site_fract_x
_atom_site_fract_y
_atom_site_fract_z
In1 In 0.000 0.000 0.000
Tc1 Tc 0.000 0.000 0.500
Br1 Br 0.119 0.250 0.625

---

| no. | V (Å³ per cell) |
| --- | --- |
| 1 | 85.77 |
| 2 | 446.63 |
| 3 | 435.52 |